<P>
Below is crystalline Sr2SmHg at its relaxed geometry, with properties calculated at the PBE-GGA level.

Cell and atoms, written as POSCAR:
```
Sr2SmHg
1.0
-0.3938 -1.8463 -3.3823
-1.5107 -3.5655 -0.0958
-11.8507 2.9833 -2.4669
Sr Sm Hg
2 1 1
Cartesian
-5.2527 -3.9827 -3.8685 Sr
-8.5024 1.5541 -2.0766 Sr
0.0000 0.0000 0.0000 Sm
-6.8776 -1.2143 -2.9725 Hg
```

Summary:
Volume (Å³/f.u.): 159
Total magnetization (μB per cell): 0.546
Symmetry: R-3m



<Q>
Below is crystalline Sr2SmHg at its relaxed geometry, with properties calculated at the PBE-GGA level.

Cell and atoms, written as POSCAR:
```
Sr2SmHg
1.0
4.0136 0.0000 0.0000
2.0068 3.4759 0.0000
2.0068 1.1586 11.2124
Sr Hg Sm
2 1 1
Cartesian
2.0068 1.1586 2.4531 Sr
2.0068 1.1586 8.7669 Sr
4.0136 2.3172 0.0128 Hg
4.0136 2.3172 5.5857 Sm
```

Summary:
Volume (Å³/f.u.): 156
Total magnetization (μB per cell): 0.167
Symmetry: R3m



Relative calculated energies, zero for the most stable structure, unit eV/atom: <P> 0.161; <Q> 0.000.



<P>
Below is crystalline SrSm2Hg at its relaxed geometry, with properties calculated at the PBE-GGA level.

Cell and atoms, written as POSCAR:
```
SrSm2Hg
1.0
3.7667 0.0000 0.0000
1.8833 3.2621 0.0000
1.8833 1.0874 11.9107
Sr Sm Hg
1 2 1
Cartesian
0.0000 0.0000 0.0000 Sr
5.6500 3.2621 3.6270 Sm
1.8833 1.0874 8.2837 Sm
3.7667 2.1747 5.9554 Hg
```

Summary:
Volume (Å³/f.u.): 146
Total magnetization (μB per cell): 0.001
Symmetry: R-3m



<Q>
Below is crystalline SrSm2Hg at its relaxed geometry, with properties calculated at the PBE-GGA level.

Cell and atoms, written as POSCAR:
```
SrSm2Hg
1.0
-0.9110 0.7393 -5.1452
-3.4661 -3.0686 -2.5336
-5.9132 3.1391 -1.2083
Sr Hg Sm
1 1 2
Cartesian
-5.2696 0.5143 -4.4058 Sr
-8.5696 1.3562 -6.4069 Hg
-2.1815 -0.1413 -2.3404 Sm
-5.3278 2.6245 -1.3859 Sm
```

Summary:
Volume (Å³/f.u.): 147
Total magnetization (μB per cell): 0.000
Symmetry: R3m



Relative calculated energies, zero for the most stable structure, unit eV/atom: <P> 0.038; <Q> 0.000.



<P>
Below is crystalline SrSmTlHg at its relaxed geometry, with properties calculated at the PBE-GGA level.

Cell and atoms, written as POSCAR:
```
SrSmTlHg
1.0
-3.2614 1.9915 -0.7271
-1.7588 -3.2865 -1.1121
-2.4542 -1.2516 7.5799
Tl Sm Hg Sr
1 1 1 1
Cartesian
-2.8212 -0.8062 0.0413 Tl
-0.9011 -0.4595 2.7830 Sm
-3.9437 -1.3786 3.5080 Hg
-2.0859 -1.0637 6.4423 Sr
```

Summary:
Volume (Å³/f.u.): 122
Total magnetization (μB per cell): 0.151
Symmetry: P4mm



<Q>
Below is crystalline SrSmTlHg at its relaxed geometry, with properties calculated at the PBE-GGA level.

Cell and atoms, written as POSCAR:
```
SrSmTlHg
1.0
5.5616 0.0000 0.0000
2.7808 4.8165 0.0000
2.7808 1.6055 4.5410
Sr Hg Tl Sm
1 1 1 1
Cartesian
8.3424 4.8165 3.4058 Sr
5.5616 3.2110 2.2705 Hg
0.0000 0.0000 0.0000 Tl
2.7808 1.6055 1.1353 Sm
```

Summary:
Volume (Å³/f.u.): 122
Total magnetization (μB per cell): 0.000
Symmetry: F-43m



Relative calculated energies, zero for the most stable structure, unit eV/atom: <P> 0.000; <Q> 0.028.



<P>
Below is crystalline TbSm2Hg2 at its relaxed geometry, with properties calculated at the PBE-GGA level.

Cell and atoms, written as POSCAR:
```
TbSm2Hg2
1.0
-0.4745 4.6088 1.4032
-5.0312 2.6244 -1.9704
-3.6987 0.7382 4.6752
Sm Hg Tb
2 2 1
Cartesian
-6.4462 6.0476 3.0090 Sm
-2.7582 1.9239 1.0991 Sm
-4.8906 4.3939 0.6158 Hg
-4.3138 3.5775 3.4922 Hg
0.0000 0.0000 0.0000 Tb
```

Summary:
Volume (Å³/f.u.): 144
Total magnetization (μB per cell): 0.000
Symmetry: Immm



<Q>
Below is crystalline TbSm2Hg2 at its relaxed geometry, with properties calculated at the PBE-GGA level.

Cell and atoms, written as POSCAR:
```
TbSm2Hg2
1.0
0.2023 -0.8539 -3.6802
-1.2226 -5.1067 1.1176
-13.5824 3.3435 0.4193
Hg Tb Sm
4 2 4
Cartesian
-4.6454 -3.4286 -1.4065 Hg
-9.9573 0.8116 -0.7368 Hg
-1.6003 -1.4018 -1.7085 Hg
-13.0024 -1.2152 -0.4348 Hg
-10.3571 -2.1921 -2.0045 Tb
-4.2456 -0.4249 -0.1388 Tb
-12.4503 0.9465 -2.8477 Sm
-7.2469 -2.4600 0.1734 Sm
-2.1524 -3.5635 0.7044 Sm
-7.3557 -0.1570 -2.3167 Sm
```

Summary:
Volume (Å³/f.u.): 141
Total magnetization (μB per cell): 0.775
Symmetry: P2_1/m



Relative calculated energies, zero for the most stable structure, unit eV/atom: <P> 0.056; <Q> 0.000.



<P>
Below is crystalline Tb2SmHg8 at its relaxed geometry, with properties calculated at the PBE-GGA level.

Cell and atoms, written as POSCAR:
```
Tb2SmHg8
1.0
4.9735 0.0000 0.0000
0.0000 7.2717 0.2017
-2.4867 -2.9012 7.4943
Hg Tb Sm
8 2 1
Cartesian
2.4867 -0.7689 7.1274 Hg
0.0000 0.4679 2.2941 Hg
2.4867 5.5549 2.7934 Hg
0.0000 -1.1844 4.9026 Hg
2.4867 2.7736 1.5447 Hg
2.4867 3.9025 5.4019 Hg
0.0000 1.5969 6.1512 Hg
0.0000 5.1394 0.5686 Hg
2.4867 0.8536 4.3676 Tb
0.0000 3.5169 3.3284 Tb
2.4867 0.0000 0.0000 Sm
```

Summary:
Volume (Å³/f.u.): 274
Total magnetization (μB per cell): 0.000
Symmetry: C2/m



<Q>
Below is crystalline Tb2SmHg8 at its relaxed geometry, with properties calculated at the PBE-GGA level.

Cell and atoms, written as POSCAR:
```
Tb2SmHg8
1.0
4.8929 0.0000 -1.4857
-0.9157 6.7809 -3.0155
-0.0684 -0.3184 8.5745
Hg Tb Sm
8 2 1
Cartesian
4.5561 1.6685 6.2048 Hg
3.3063 5.4977 2.0887 Hg
1.5437 0.7314 5.0839 Hg
2.7511 2.8720 0.2604 Hg
-0.6472 4.7940 -2.1315 Hg
0.6026 0.9648 1.9846 Hg
1.1578 3.5905 3.8129 Hg
2.3652 5.7311 -1.0106 Hg
3.6249 1.8855 3.1379 Tb
0.2840 4.5770 0.9354 Tb
2.4465 0.0000 -0.7429 Sm
```

Summary:
Volume (Å³/f.u.): 279
Total magnetization (μB per cell): 0.000
Symmetry: Immm



Relative calculated energies, zero for the most stable structure, unit eV/atom: <P> 0.000; <Q> 0.011.



<P>
Below is crystalline TbSmHg2 at its relaxed geometry, with properties calculated at the PBE-GGA level.

Cell and atoms, written as POSCAR:
```
TbSmHg2
1.0
3.7521 0.0000 0.0000
0.0000 3.7521 0.0000
0.0000 0.0000 7.5903
Hg Sm Tb
2 1 1
Cartesian
0.0000 0.0000 5.7697 Hg
0.0000 0.0000 1.8206 Hg
1.8760 1.8760 3.7952 Sm
1.8760 1.8760 0.0000 Tb
```

Summary:
Volume (Å³/f.u.): 107
Total magnetization (μB per cell): 0.636
Symmetry: P4/mmm



<Q>
Below is crystalline TbSmHg2 at its relaxed geometry, with properties calculated at the PBE-GGA level.

Cell and atoms, written as POSCAR:
```
TbSmHg2
1.0
3.8214 0.0000 0.0000
1.9107 3.3094 0.0000
1.9107 1.1031 9.1677
Hg Sm Tb
2 1 1
Cartesian
1.9107 1.1031 6.8396 Hg
1.9107 1.1031 2.3275 Hg
3.8214 2.2063 0.0068 Sm
3.8214 2.2063 4.5776 Tb
```

Summary:
Volume (Å³/f.u.): 116
Total magnetization (μB per cell): 0.000
Symmetry: R3m



Relative calculated energies, zero for the most stable structure, unit eV/atom: <P> 0.000; <Q> 0.150.